Record 1
The following is a PBE calculation of a relaxed Si4TcSe crystal, from Alexandria via LeMat-Bulk.

Summary:
- SG: F-43m, No. 216
- Total moment: 0.991 μB/f.u.
- Formation energy without anion corrections: 64 kJ per mole of atoms
- DOS at the Fermi energy: 4.6 states/eV/cell

Unit cell a=5.067 b=5.067 c=5.067 alpha=60.00 beta=60.00 gamma=60.00
Site moments in Bohr magnetons follow the coordinates.
Element x y z (fractional)
Si (0.876, 0.375, 0.375)  0.00
Si (0.375, 0.375, 0.876)  0.00
Si (0.375, 0.876, 0.375)  0.00
Si (0.375, 0.375, 0.375)  0.00
Tc (0.750, 0.750, 0.750)  0.90
Se (0.000, 0.000, 0.000)  0.02

=====

Record 2
The following is a PBE calculation of a relaxed SiTcSe2 crystal, from Alexandria via LeMat-Bulk.

Summary:
- SG: Cmm2, No. 35
- Total moment: 0.003 μB/f.u.
- Formation energy without anion corrections: 28 kJ per mole of atoms
- DOS at the Fermi energy: 3.2 states/eV/cell

Unit cell a=3.206 b=3.206 c=9.289 alpha=90.00 beta=90.00 gamma=120.85
Element x y z (fractional)
Se (0.000, 0.000, 0.928)
Se (0.500, 0.500, 0.329)
Si (0.000, 0.000, 0.516)
Tc (0.500, 0.500, 0.727)

=====

Record 3
The following is a PBE calculation of a relaxed SiTcSe2 crystal, from Alexandria via LeMat-Bulk.

Summary:
- SG: P4mm, No. 99
- Total moment: 0.000 μB/f.u.
- Formation energy without anion corrections: -4 kJ per mole of atoms
- DOS at the Fermi energy: 2.2 states/eV/cell

Unit cell a=3.178 b=3.178 c=7.349 alpha=90.00 beta=90.00 gamma=90.00
Element x y z (fractional)
Se (0.000, 0.000, 0.914)
Se (0.500, 0.500, 0.351)
Si (0.000, 0.000, 0.524)
Tc (0.500, 0.500, 0.711)

=====

Record 4
The following is a PBE calculation of a relaxed SiTcSe2 crystal, from Alexandria via LeMat-Bulk.

Summary:
- SG: C2/m, No. 12
- Total moment: 0.000 μB/f.u.
- Formation energy without anion corrections: 26 kJ per mole of atoms
- DOS at the Fermi energy: 2.0 states/eV/cell

Unit cell a=4.160 b=4.160 c=5.951 alpha=82.30 beta=82.30 gamma=44.92
Element x y z (fractional)
Se (0.978, 0.978, 0.033)
Se (0.522, 0.522, 0.467)
Si (0.750, 0.750, 0.750)
Tc (0.250, 0.250, 0.250)

=====

Record 5
The following is a PBE calculation of a relaxed SiTcSe2 crystal, from Alexandria via LeMat-Bulk.

Summary:
- SG: Imm2, No. 44
- Total moment: 0.000 μB/f.u.
- Formation energy without anion corrections: 22 kJ per mole of atoms
- DOS at the Fermi energy: 2.8 states/eV/cell

Unit cell a=6.451 b=6.451 c=6.451 alpha=152.86 beta=142.04 gamma=47.29
Element x y z (fractional)
Se (0.061, 0.061, 0.000)
Se (0.784, 0.284, 0.500)
Si (0.422, 0.422, 0.000)
Tc (0.233, 0.733, 0.500)

=====

Record 6
The following is a PBE calculation of a relaxed SiTcSe2 crystal, from Alexandria via LeMat-Bulk.

Summary:
- SG: Pmmm, No. 47
- Total moment: 0.002 μB/f.u.
- Formation energy without anion corrections: 59 kJ per mole of atoms
- DOS at the Fermi energy: 4.2 states/eV/cell

Unit cell a=3.228 b=5.025 c=4.185 alpha=90.00 beta=90.00 gamma=90.00
Element x y z (fractional)
Se (0.000, 0.000, 0.000)
Se (0.500, 0.500, 0.000)
Si (0.500, 0.000, 0.500)
Tc (0.000, 0.500, 0.500)

=====

- formation energy without anion corrections of number 3 (SiTcSe2)?
  -4 kJ per mole of atoms